Model w:
! PBE NpFeB, relaxed; values from VASP
&SYSTEM
  ibrav = 0, nat = 3, ntyp = 3
/
ATOMIC_SPECIES
Np 237.00 Np.upf
Fe 55.84 Fe.upf
B 10.81 B.upf
ATOMIC_POSITIONS angstrom
Np 0.0000 0.0000 0.0000
Fe 2.7443 2.7443 2.7443
B 4.1164 4.1164 4.1164
CELL_PARAMETERS angstrom
0.0000 2.7443 2.7443
2.7443 0.0000 2.7443
2.7443 2.7443 0.0000
! SG   F-43m, No. 216

=====

Model x:
! PBE NpFeB, relaxed; values from VASP
&SYSTEM
  ibrav = 0, nat = 3, ntyp = 3
/
ATOMIC_SPECIES
Np 237.00 Np.upf
Fe 55.84 Fe.upf
B 10.81 B.upf
ATOMIC_POSITIONS angstrom
Np 0.0000 0.0000 0.0000
Fe 1.4112 1.4112 1.4112
B 2.8224 2.8224 2.8224
CELL_PARAMETERS angstrom
0.0000 2.8224 2.8224
2.8224 0.0000 2.8224
2.8224 2.8224 0.0000
! SG   F-43m, No. 216

=====

Relative energies with respect to the most stable structure, expressed in meV/atom: model w 0; model x 169.